3
Lattice="-4.1761 2.3052 1.3008 -1.5567 -0.8082 -3.5654 -0.4771 -2.5586 3.0025" Properties=species:S:1:pos:R:3 comment="DyBiF GGA-PBE optimized geometry" space_group="P-6m2 (187)" formation_energy_uncorrected_ev_per_atom=-2.008 pbc="T T T"
Dy -0.6956 0.3840 0.2167
F -1.5335 -1.5906 1.0302
Bi -3.9808 0.1450 -0.5090



8
Lattice="3.3958 0.0000 0.0000 1.6979 5.4463 0.8714 1.6979 2.1236 6.4326" Properties=species:S:1:pos:R:3 comment="Dy2BiO4F GGA-PBE optimized geometry" space_group="C2/m (12)" formation_energy_uncorrected_ev_per_atom=-2.805 pbc="T T T"
Dy 1.6979 2.3363 2.2187
F 3.3958 3.7850 3.6520
O 3.3958 0.8872 2.1694
O 3.3958 3.8556 6.2995
Bi 0.0000 0.0000 0.0000
O 3.3958 3.7144 1.0045
Dy 5.0937 5.2336 5.0853
O 3.3958 6.6827 5.1346



8
Lattice="3.8443 0.0000 0.0000 0.0000 3.8443 0.0000 0.0000 0.0000 8.6152" Properties=species:S:1:pos:R:3 comment="DyBi2O4F GGA-PBE optimized geometry" space_group="P4/mmm (123)" formation_energy_uncorrected_ev_per_atom=-2.186 pbc="T T T"
O 0.0000 1.9222 1.3947
O 0.0000 1.9222 7.2205
Bi 1.9222 1.9222 2.5402
O 1.9222 0.0000 1.3947
F 0.0000 0.0000 4.3076
Bi 1.9222 1.9222 6.0749
O 1.9222 0.0000 7.2205
Dy 0.0000 0.0000 0.0000



14
Lattice="-1.0028 -2.2727 -3.3986 8.7412 -3.1810 -0.4519 -6.3834 -4.6143 4.9691" Properties=species:S:1:pos:R:3 comment="Dy3Fe3Bi GGA-PBE optimized geometry" ef_kj_per_mol_fu=-150 space_group="P6_3/m (176)" pbc="T T T"
Fe 7.1716 -3.4023 -1.1444
Dy 0.6561 -4.4077 -1.1568
Dy 3.4425 -7.4509 0.0562
Bi -2.0939 -5.8411 0.6132
Dy 4.7442 -4.2313 -2.4809
Fe -1.5806 -2.4856 -1.7822
Bi 3.4490 -4.2270 0.5055
Fe 1.1154 -8.3719 1.3587
Dy -3.3891 -5.8367 3.5995
Dy 0.6990 -5.6603 2.2754
Fe 2.9356 -7.5824 2.9008
Dy -2.0875 -2.6171 1.0625
Fe 0.2397 -1.6962 -0.2400
Fe -5.8166 -6.6658 2.2630



19
Lattice="7.9556 0.0000 -2.8127 -3.9778 6.8897 -2.8127 0.0000 0.0000 8.4381" Properties=species:S:1:pos:R:3 comment="Dy12Fe6Bi GGA-PBE optimized geometry" ef_kj_per_mol_fu=-214 space_group="Im-3 (204)" pbc="T T T"
Dy 0.3713 2.0811 2.8113
Fe -1.5577 4.1918 2.2029
Fe 1.1264 3.4449 5.0156
Dy 1.9899 6.1707 -2.8141
Dy 5.1813 2.0811 -2.2257
Fe 3.5465 0.7469 3.4226
Dy 3.6065 4.8087 0.0014
Dy -1.2035 4.8087 5.0384
Dy 3.5627 3.4466 3.3998
Fe 0.4312 6.1428 -0.6099
Dy 3.1894 1.3621 0.5871
Dy -2.3612 5.5277 -0.0014
Fe 2.8514 3.4449 -2.2029
Fe 5.5354 2.6979 0.6099
Dy 6.3389 1.3621 2.8141
Dy 0.7884 5.5277 2.2257
Dy 1.9879 0.7190 5.6269
Dy 0.4151 3.4431 -0.5871
Bi 0.0000 0.0000 0.0000



16
Lattice="6.7796 0.0000 -3.2003 -1.5107 6.6091 -3.2003 0.1194 0.1498 9.0342" Properties=species:S:1:pos:R:3 comment="Dy5Fe2Bi GGA-PBE optimized geometry" ef_kj_per_mol_fu=-167 space_group="I4/mcm (140)" pbc="T T T"
Fe 1.2897 5.8699 -4.0846
Fe 3.9791 0.7393 -2.3161
Dy 1.3965 0.3509 5.9025
Fe 5.0969 4.0438 -4.8005
Dy 4.5374 1.4396 3.7751
Fe 0.1719 2.5653 -1.6002
Dy 3.9919 6.4081 -3.2689
Dy 0.8509 5.3194 -1.1416
Dy 5.8639 3.1035 -2.1959
Dy 0.0000 0.0000 0.0000
Dy 2.6653 4.7441 2.7021
Dy 2.6344 3.3046 -3.2003
Dy 2.7230 2.0148 -0.0686
Dy -0.4756 3.6555 4.8294
Bi 1.3769 1.7272 2.9169
Bi 4.0114 5.0318 -0.2834